# ZrPaTi4, optimized geometry, DFT PBE
# DFT formation energy: 0.138 eV per atom
# Magnetization: 0.084 μB per atom
data_ZrPaTi4
_chemical_formula_sum 'Zr4 Pa4 Ti16'
_space_group_name_H-M_alt 'F -4 3 m'
_space_group_IT_number 216
_space_group_name_Hall 'F -4 2 3'
_cell_length_a 7.732
_cell_length_b 7.732
_cell_length_c 7.732
_cell_angle_alpha 90.00
_cell_angle_beta 90.00
_cell_angle_gamma 90.00
loop_
_atom_site_label
_atom_site_fract_x
_atom_site_fract_y
_atom_site_fract_z
_atom_site_occupancy
Zr1 0.000 0.000 0.000 1
Pa1 0.250 0.250 0.250 1
Ti1 0.125 0.125 0.625 1